A plane-wave DFT calculation with PBE-GGA was carried out for crystalline ScCoSiHg at its relaxed geometry.

## Properties
- Energy above the lowest structure with this stoichiometry: 0.0000 eV/atom
- Crystal system: cubic
- Magnetic moment: 1.32 μB per cell
- Total energy: -4.871 eV/atom

Cell and atoms, written as CIF:
```
data_ScCoSiHg
_cell_length_a 6.376
_cell_length_b 6.376
_cell_length_c 6.376
_cell_angle_alpha 90.00
_cell_angle_beta 90.00
_cell_angle_gamma 90.00
_symmetry_space_group_name_H-M 'F -4 3 m'
_symmetry_Int_Tables_number 216
_symmetry_space_group_name_Hall 'F -4 2 3'
loop_
_atom_site_label
_atom_site_type_symbol
_atom_site_fract_x
_atom_site_fract_y
_atom_site_fract_z
Sc1 Sc 0.000 0.000 0.000
Co1 Co 0.000 0.000 0.500
Si1 Si 0.250 0.250 0.250
Hg1 Hg 0.250 0.250 0.750
```


A plane-wave DFT calculation with PBE-GGA was carried out for crystalline Nd4BrN2Cl at its relaxed geometry.

## Properties
- Crystal system: hexagonal
- Magnetic moment: 0.00 μB per cell
- Total energy: -6.385 eV/atom

Cell and atoms, written as CIF:
```
data_Nd4BrN2Cl
_cell_length_a 3.6949
_cell_length_b 3.6949
_cell_length_c 14.3358
_cell_angle_alpha 90.00
_cell_angle_beta 90.00
_cell_angle_gamma 120.00
_symmetry_space_group_name_H-M 'P -6 m 2'
_symmetry_Int_Tables_number 187
_symmetry_space_group_name_Hall 'P -6 2'
loop_
_atom_site_label
_atom_site_type_symbol
_atom_site_fract_x
_atom_site_fract_y
_atom_site_fract_z
Nd1 Nd 0.0000 0.0000 0.1532
Nd2 Nd 0.3333 0.6667 0.3377
Br1 Br 0.0000 0.0000 0.5000
N1 N 0.6667 0.3333 0.2443
Cl1 Cl 0.3333 0.6667 0.0000
```


| no. | density (g/cm³) |
| --- | --- |
| 1 | 8.52 |
| 2 | 7.06 |